# DyPaHg2 (PBE, optimized geometry)
# space group = No. 225
# energy relative to the elements = -0.0539 eV/atom
# total DFT energy (no corrections) = -14.92 eV for the cell shown
# DOS(E_F) = 8.54 states/eV/f.u.
# relative energy among the computed polymorphs = 0.40 eV/f.u.
# theoretical density = 12.68 Mg/m³
data_DyPaHg2
_chemical_formula_sum 'Dy1 Pa1 Hg2'
_space_group_name_H-M_alt 'P 1'
_space_group_IT_number 1
_space_group_name_Hall 'P 1'
_cell_length_a 5.279
_cell_length_b 5.279
_cell_length_c 5.279
_cell_angle_alpha 60.00
_cell_angle_beta 60.00
_cell_angle_gamma 60.00
loop_
_atom_site_label
_atom_site_fract_x
_atom_site_fract_y
_atom_site_fract_z
_atom_site_occupancy
Dy1 0.000 0.000 0.000 1
Hg1 0.250 0.250 0.250 1
Hg2 0.750 0.750 0.750 1
Pa1 0.500 0.500 0.500 1

# DyPaHg2 (PBE, optimized geometry)
# space group = No. 166
# energy relative to the elements = -0.0638 eV/atom
# total DFT energy (no corrections) = -14.96 eV for the cell shown
# DOS(E_F) = 5.56 states/eV/f.u.
# relative energy among the computed polymorphs = 0.36 eV/f.u.
# theoretical density = 12.89 Mg/m³
data_DyPaHg2
_chemical_formula_sum 'Dy1 Pa1 Hg2'
_space_group_name_H-M_alt 'P 1'
_space_group_IT_number 1
_space_group_name_Hall 'P 1'
_cell_length_a 3.364
_cell_length_b 3.364
_cell_length_c 10.621
_cell_angle_alpha 80.89
_cell_angle_beta 80.89
_cell_angle_gamma 60.00
loop_
_atom_site_label
_atom_site_fract_x
_atom_site_fract_y
_atom_site_fract_z
_atom_site_occupancy
Hg1 0.248 0.248 0.257 1
Hg2 0.752 0.752 0.743 1
Pa1 0.000 0.000 0.000 1
Dy1 0.500 0.500 0.500 1

# DyPaHg2 (PBE, optimized geometry)
# space group = No. 123
# energy relative to the elements = -0.0448 eV/atom
# total DFT energy (no corrections) = -14.88 eV for the cell shown
# DOS(E_F) = 6.62 states/eV/f.u.
# relative energy among the computed polymorphs = 0.44 eV/f.u.
# theoretical density = 13.11 Mg/m³
data_DyPaHg2
_chemical_formula_sum 'Dy1 Pa1 Hg2'
_space_group_name_H-M_alt 'P 1'
_space_group_IT_number 1
_space_group_name_Hall 'P 1'
_cell_length_a 4.473
_cell_length_b 4.743
_cell_length_c 4.743
_cell_angle_alpha 90.00
_cell_angle_beta 90.00
_cell_angle_gamma 90.00
loop_
_atom_site_label
_atom_site_fract_x
_atom_site_fract_y
_atom_site_fract_z
_atom_site_occupancy
Hg1 0.000 0.000 0.500 1
Hg2 0.000 0.500 0.000 1
Dy1 0.500 0.000 0.000 1
Pa1 0.500 0.500 0.500 1

# DyPaHgPb (PBE, optimized geometry)
# space group = No. 216
# energy relative to the elements = -0.0533 eV/atom
# total DFT energy (no corrections) = -18.32 eV for the cell shown
# DOS(E_F) = 9.94 states/eV/f.u.
# theoretical density = 12.29 Mg/m³
data_DyPaHgPb
_chemical_formula_sum 'Dy1 Pa1 Hg1 Pb1'
_space_group_name_H-M_alt 'P 1'
_space_group_IT_number 1
_space_group_name_Hall 'P 1'
_cell_length_a 5.350
_cell_length_b 5.350
_cell_length_c 5.350
_cell_angle_alpha 60.00
_cell_angle_beta 60.00
_cell_angle_gamma 60.00
loop_
_atom_site_label
_atom_site_fract_x
_atom_site_fract_y
_atom_site_fract_z
_atom_site_occupancy
Pa1 0.000 0.000 0.000 1
Hg1 0.750 0.750 0.750 1
Pb1 0.250 0.250 0.250 1
Dy1 0.500 0.500 0.500 1

# DyPaSnHg (PBE, optimized geometry)
# space group = No. 216
# energy relative to the elements = -0.1854 eV/atom
# total DFT energy (no corrections) = -19.14 eV for the cell shown
# DOS(E_F) = 9.23 states/eV/f.u.
# theoretical density = 11.24 Mg/m³
data_DyPaSnHg
_chemical_formula_sum 'Dy1 Pa1 Sn1 Hg1'
_space_group_name_H-M_alt 'P 1'
_space_group_IT_number 1
_space_group_name_Hall 'P 1'
_cell_length_a 5.300
_cell_length_b 5.300
_cell_length_c 5.300
_cell_angle_alpha 60.00
_cell_angle_beta 60.00
_cell_angle_gamma 60.00
loop_
_atom_site_label
_atom_site_fract_x
_atom_site_fract_y
_atom_site_fract_z
_atom_site_occupancy
Pa1 0.000 0.000 0.000 1
Sn1 0.250 0.250 0.250 1
Hg1 0.750 0.750 0.750 1
Dy1 0.500 0.500 0.500 1

# DyPaTcHg (PBE, optimized geometry)
# space group = No. 216
# energy relative to the elements = 0.0055 eV/atom
# total DFT energy (no corrections) = -24.74 eV for the cell shown
# DOS(E_F) = 4.14 states/eV/f.u.
# theoretical density = 12.61 Mg/m³
data_DyPaTcHg
_chemical_formula_sum 'Dy1 Pa1 Tc1 Hg1'
_space_group_name_H-M_alt 'P 1'
_space_group_IT_number 1
_space_group_name_Hall 'P 1'
_cell_length_a 5.052
_cell_length_b 5.052
_cell_length_c 5.052
_cell_angle_alpha 60.00
_cell_angle_beta 60.00
_cell_angle_gamma 60.00
loop_
_atom_site_label
_atom_site_fract_x
_atom_site_fract_y
_atom_site_fract_z
_atom_site_occupancy
Hg1 0.750 0.750 0.750 1
Pa1 0.000 0.000 0.000 1
Dy1 0.500 0.500 0.500 1
Tc1 0.250 0.250 0.250 1